## one
Material: NbAgH3
Method: DFT, GGA-PBE
State: relaxed

Lattice parameters (Å, degrees): 3.6763 3.6763 3.6763 90.00 90.00 90.00
Space group Pm-3m (No. 221)
One atom of each set of equivalent atoms:
Nb: 0.0000 0.0000 0.0000 [1 per cell]
Ag: 0.5000 0.5000 0.5000 [1 per cell]
H: 0.0000 0.0000 0.5000 [3 per cell]

Density of states at the Fermi level, states/eV/cell: 2.9



## two
Material: NbAgH3
Method: DFT, GGA-PBE
State: relaxed

Lattice parameters (Å, degrees): 3.5770 3.5770 3.5770 90.00 90.00 90.00
Space group Pm-3m (No. 221)
One atom of each set of equivalent atoms:
Nb: 0.0000 0.0000 0.0000 [1 per cell]
Ag: 0.5000 0.5000 0.5000 [1 per cell]
H: 0.0000 0.5000 0.5000 [3 per cell]

Density of states at the Fermi level, states/eV/cell: 1.8



Short version: one is the most stable of them.



## one
Material: Nb3AgH
Method: DFT, GGA-PBE
State: relaxed

Lattice parameters (Å, degrees): 4.9842 4.9842 4.9842 90.00 90.00 90.00
Space group Pm-3m (No. 221)
One atom of each set of equivalent atoms:
Nb: 0.0000 0.0000 0.5000 [3 per cell]
Ag: 0.0000 0.0000 0.0000 [1 per cell]
H: 0.5000 0.5000 0.5000 [1 per cell]

Density of states at the Fermi level, states/eV/cell: 6.4



## two
Material: Nb3AgH
Method: DFT, GGA-PBE
State: relaxed

Lattice parameters (Å, degrees): 4.2021 4.2021 4.2021 90.00 90.00 90.00
Space group Pm-3m (No. 221)
One atom of each set of equivalent atoms:
Nb: 0.0000 0.0000 0.5000 [3 per cell]
Ag: 0.5000 0.5000 0.5000 [1 per cell]
H: 0.0000 0.0000 0.0000 [1 per cell]

Density of states at the Fermi level, states/eV/cell: 6.0



Short version: two is the most stable of them.



## one
Material: Nb2AgH
Method: DFT, GGA-PBE
State: relaxed

Lattice parameters (Å, degrees): 6.2874 6.2874 6.2874 90.00 90.00 90.00
Space group Fm-3m (No. 225)
One atom of each set of equivalent atoms:
Nb: 0.2500 0.2500 0.2500 [8 per cell]
Ag: 0.0000 0.0000 0.0000 [4 per cell]
H: 0.0000 0.0000 0.5000 [4 per cell]

Density of states at the Fermi level, states/eV/cell: 8.5



## two
Material: Nb2AgH
Method: DFT, GGA-PBE
State: relaxed

Lattice parameters (Å, degrees): 5.7669 5.7669 7.9016 90.00 90.00 90.00
Space group I-42d (No. 122)
One atom of each set of equivalent atoms:
Nb: 0.0409 0.7500 0.1250 [8 per cell]
Ag: 0.0000 0.0000 0.5000 [4 per cell]
H: 0.0000 0.0000 0.0000 [4 per cell]

Density of states at the Fermi level, states/eV/cell: 11.6



## three
Material: Nb2AgH
Method: DFT, GGA-PBE
State: relaxed

Lattice parameters (Å, degrees): 2.8809 2.8809 25.1792 90.00 90.00 120.00
Space group R-3m (No. 166, hexagonal axes)
One atom of each set of equivalent atoms:
Nb: 0.0000 0.0000 0.1130 [6 per cell]
Ag: 0.0000 0.0000 0.0000 [3 per cell]
H: 0.0000 0.0000 0.5000 [3 per cell]

Density of states at the Fermi level, states/eV/cell: 9.8



Short version: three is the most stable of them.